# 1
# La2ZnCo

An optimized crystal structure of La2ZnCo (GGA-PBEsol, Alexandria via LeMat-Bulk).

Properties
* calculated volume: 21.52 Å³ per atom
* calculated formation energy: -0.30 eV/f.u.
* theoretical density: 7.76 g cm⁻³

a b c (Å): 3.4380 4.6278 10.8220
angles (deg): 90.00 90.00 90.00
Fractional coordinates of all 8 atoms:
La1 0.0000 0.0000 0.0000
La2 0.0000 0.5000 0.1947
La3 0.5000 0.0000 0.6947
La4 0.5000 0.5000 0.5000
Zn1 0.0000 0.0000 0.3944
Zn2 0.5000 0.5000 0.8944
Co1 0.0000 0.5000 0.7308
Co2 0.5000 0.0000 0.2308

# 2
# Tl2CdRe

An optimized crystal structure of Tl2CdRe (GGA-PBEsol, Alexandria via LeMat-Bulk).

Properties
* calculated volume: 22.53 Å³ per atom
* offset from the most stable computed form: 0.179 eV per atom
* calculated formation energy: 3.24 eV/f.u.
* theoretical density: 13.04 g cm⁻³

a b c (Å): 2.8641 2.8641 10.9849
angles (deg): 90.00 90.00 90.00
Fractional coordinates of all 4 atoms:
Tl1 0.0000 0.0000 0.2162
Tl2 0.0000 0.0000 0.7838
Cd1 0.5000 0.5000 0.5000
Re1 0.5000 0.5000 0.0000

# 3
# KOsBr2

An optimized crystal structure of KOsBr2 (GGA-PBEsol, Alexandria via LeMat-Bulk).

Properties
* calculated volume: 25.52 Å³ per atom
* offset from the most stable computed form: 0.633 eV per atom
* theoretical density: 6.33 g cm⁻³
* raw formation energy: 0.74 eV per atom

a b c (Å): 4.0045 4.0045 12.7329
angles (deg): 90.00 90.00 90.00
Fractional coordinates of all 8 atoms:
K1 0.0000 0.0000 0.0000
K2 0.5000 0.5000 0.5000
Os1 0.0000 0.5000 0.2500
Os2 0.5000 0.0000 0.7500
Br1 0.0000 0.0000 0.5000
Br2 0.0000 0.5000 0.7500
Br3 0.5000 0.0000 0.2500
Br4 0.5000 0.5000 0.0000

# 4
# MnFe3

An optimized crystal structure of MnFe3 (GGA-PBEsol, Alexandria via LeMat-Bulk).

Properties
* calculated volume: 10.68 Å³ per atom
* calculated formation energy: 0.32 eV/f.u.
* theoretical density: 8.65 g cm⁻³

a b c (Å): 2.7658 3.9060 7.9085
angles (deg): 90.00 90.00 90.00
Fractional coordinates of all 8 atoms:
Mn1 0.0000 0.0000 0.0000
Mn2 0.5000 0.5000 0.0000
Fe1 0.0000 0.0000 0.5000
Fe2 0.0000 0.5000 0.2486
Fe3 0.0000 0.5000 0.7514
Fe4 0.5000 0.0000 0.2486
Fe5 0.5000 0.0000 0.7514
Fe6 0.5000 0.5000 0.5000

# 5
# Na7NbO6

An optimized crystal structure of Na7NbO6 (GGA-PBEsol, Alexandria via LeMat-Bulk).

Properties
* calculated volume: 13.14 Å³ per atom
* theoretical density: 3.16 g cm⁻³
* raw formation energy: -1.68 eV per atom

a b c (Å): 6.3377 6.3377 6.3377
angles (deg): 60.96 60.96 60.96
Fractional coordinates of all 14 atoms:
Na1 0.0000 0.0000 0.0000
Na2 0.1536 0.5390 0.9461
Na3 0.1718 0.6974 0.4048
Na4 0.4048 0.1718 0.6974
Na5 0.5390 0.9461 0.1536
Na6 0.6974 0.4048 0.1718
Na7 0.9461 0.1536 0.5390
Nb1 0.6517 0.6517 0.6517
O1 0.3163 0.8380 0.5802
O2 0.4392 0.7651 0.9757
O3 0.5802 0.3163 0.8380
O4 0.7651 0.9757 0.4392
O5 0.8380 0.5802 0.3163
O6 0.9757 0.4392 0.7651

# 6
# CaZnCl3

An optimized crystal structure of CaZnCl3 (GGA-PBEsol, Alexandria via LeMat-Bulk).

Properties
* calculated volume: 22.97 Å³ per atom
* theoretical density: 3.06 g cm⁻³
* raw formation energy: -1.15 eV per atom

a b c (Å): 4.8605 4.8605 4.8605
angles (deg): 90.00 90.00 90.00
Fractional coordinates of all 5 atoms:
Ca1 0.0000 0.0000 0.0000
Zn1 0.5000 0.5000 0.5000
Cl1 0.0000 0.5000 0.5000
Cl2 0.5000 0.0000 0.5000
Cl3 0.5000 0.5000 0.0000

# 7
# LaReBr2

An optimized crystal structure of LaReBr2 (GGA-PBEsol, Alexandria via LeMat-Bulk).

Properties
* calculated volume: 22.26 Å³ per atom
* offset from the most stable computed form: 0.350 eV per atom
* theoretical density: 9.04 g cm⁻³
* raw formation energy: 0.25 eV per atom

a b c (Å): 4.1790 4.1790 10.1969
angles (deg): 90.00 90.00 90.00
Fractional coordinates of all 8 atoms:
La1 0.0000 0.0000 0.0000
La2 0.5000 0.5000 0.5000
Re1 0.0000 0.5000 0.2500
Re2 0.5000 0.0000 0.7500
Br1 0.0000 0.0000 0.5000
Br2 0.0000 0.5000 0.7500
Br3 0.5000 0.0000 0.2500
Br4 0.5000 0.5000 0.0000

# 8
# LiSiIr

An optimized crystal structure of LiSiIr (GGA-PBEsol, Alexandria via LeMat-Bulk).

Properties
* calculated volume: 13.43 Å³ per atom
* theoretical density: 9.37 g cm⁻³
* raw formation energy: -0.51 eV per atom

a b c (Å): 4.0346 4.0346 2.8577
angles (deg): 90.00 90.00 120.00
Fractional coordinates of all 3 atoms:
Li1 0.0000 0.0000 0.0000
Si1 0.3333 0.6667 0.5000
Ir1 0.6667 0.3333 0.5000